No. 1
VASP calculation (GGA-PBEsol) on a relaxed structure of AlZnF3.

```
AlZnF3
1.0
3.855 0.000 0.000
0.000 3.855 0.000
0.000 0.000 3.855
Al Zn F
1 1 3
direct
0.000 0.000 0.000
0.500 0.500 0.500
0.000 0.000 0.500
0.000 0.500 0.000
0.500 0.000 0.000
```

Summary:
Energy relative to the elements, uncorrected (eV per formula unit): -10.9



No. 2
VASP calculation (GGA-PBEsol) on a relaxed structure of Al2ZnF.

```
Al2ZnF
1.0
0.000 3.076 3.076
3.076 0.000 3.076
3.076 3.076 0.000
Al Zn F
2 1 1
direct
0.250 0.250 0.250
0.750 0.750 0.750
0.000 0.000 0.000
0.500 0.500 0.500
```

Summary:
DOS(E_F) (states/eV/atom): 0.76
Energy relative to the elements, uncorrected (eV per formula unit): -1.8



No. 3
VASP calculation (GGA-PBEsol) on a relaxed structure of Zr2AlF.

```
Zr2AlF
1.0
-2.581 2.581 6.267
2.581 -2.581 6.267
2.581 2.581 -6.267
Zr Al F
4 2 2
direct
0.021 0.625 0.896
0.375 0.271 0.396
0.729 0.125 0.104
0.875 0.979 0.604
0.250 0.750 0.500
0.500 0.500 0.000
0.000 0.000 0.000
0.750 0.250 0.500
```

Summary:
DOS(E_F) (states/eV/atom): 0.84
Energy relative to the elements, uncorrected (eV per formula unit): -1.5



No. 4
VASP calculation (GGA-PBEsol) on a relaxed structure of AlFe.

```
AlFe
1.0
4.502 -1.373 0.000
4.502 1.373 0.000
-1.462 0.000 3.815
Al Fe
2 2
direct
0.111 0.111 0.338
0.889 0.889 0.662
0.363 0.363 0.142
0.637 0.637 0.858
```

Summary:
Formation energy (eV/atom): -0.27
DOS(E_F) (states/eV/atom): 0.79



No. 5
VASP calculation (GGA-PBEsol) on a relaxed structure of Al2Fe.

```
Al2Fe
1.0
1.528 -6.105 0.000
1.528 6.105 0.000
0.000 0.000 4.029
Al Fe
4 2
direct
0.067 0.933 0.750
0.250 0.750 0.250
0.750 0.250 0.750
0.933 0.067 0.250
0.404 0.596 0.750
0.596 0.404 0.250
```

Summary:
Formation energy (eV/atom): -0.31
DOS(E_F) (states/eV/atom): 0.40



No. 6
VASP calculation (GGA-PBEsol) on a relaxed structure of AlFe.

```
AlFe
1.0
-1.501 1.989 4.075
1.501 -1.989 4.075
1.501 1.989 -4.075
Al Fe
2 2
direct
0.363 0.113 0.250
0.637 0.887 0.750
0.113 0.363 0.750
0.887 0.637 0.250
```

Summary:
Formation energy (eV/atom): -0.27
DOS(E_F) (states/eV/atom): 0.83



No. 7
VASP calculation (GGA-PBEsol) on a relaxed structure of AlFe.

```
AlFe
1.0
3.960 0.000 0.000
-1.980 3.429 0.000
0.000 0.000 7.667
Al Fe
4 4
direct
0.333 0.667 0.082
0.333 0.667 0.418
0.667 0.333 0.582
0.667 0.333 0.918
0.000 0.000 0.250
0.000 0.000 0.750
0.333 0.667 0.750
0.667 0.333 0.250
```

Summary:
Formation energy (eV/atom): -0.10
DOS(E_F) (states/eV/atom): 0.54



No. 8
VASP calculation (GGA-PBEsol) on a relaxed structure of AlFe2.

```
AlFe2
1.0
-1.281 1.818 3.794
1.281 -1.818 3.794
1.281 1.818 -3.794
Al Fe
1 2
direct
0.000 0.000 0.000
0.334 0.334 0.000
0.666 0.666 0.000
```

Summary:
Formation energy (eV/atom): -0.14
DOS(E_F) (states/eV/atom): 0.75



No. 9
VASP calculation (GGA-PBEsol) on a relaxed structure of Al5Fe3.

```
Al5Fe3
1.0
3.337 -3.763 0.000
3.337 3.763 0.000
0.000 0.000 3.934
Al Fe
5 3
direct
0.000 0.000 0.000
0.000 0.500 0.000
0.295 0.295 0.500
0.500 0.000 0.000
0.705 0.705 0.500
0.211 0.789 0.500
0.500 0.500 0.000
0.789 0.211 0.500
```

Summary:
Formation energy (eV/atom): -0.25
DOS(E_F) (states/eV/atom): 0.54



No. 10
VASP calculation (GGA-PBEsol) on a relaxed structure of AlFe5.

```
AlFe5
1.0
4.422 -1.411 0.000
4.422 1.411 0.000
-1.790 0.000 5.329
Al Fe
1 5
direct
0.000 0.000 0.000
0.000 0.000 0.500
0.326 0.326 0.170
0.331 0.331 0.657
0.669 0.669 0.343
0.674 0.674 0.830
```

Summary:
Formation energy (eV/atom): -0.10
DOS(E_F) (states/eV/atom): 0.86
Polymorph energy (0 for the lowest one) (eV/atom): 0.0000



No. 11
VASP calculation (GGA-PBEsol) on a relaxed structure of AlFe2.

```
AlFe2
1.0
0.000 3.285 3.285
3.285 0.000 3.285
3.285 3.285 0.000
Al Fe
2 4
direct
0.125 0.125 0.125
0.875 0.875 0.875
0.000 0.500 0.500
0.500 0.000 0.500
0.500 0.500 0.000
0.500 0.500 0.500
```

Summary:
Formation energy (eV/atom): -0.11
DOS(E_F) (states/eV/atom): 1.08



No. 12
VASP calculation (GGA-PBEsol) on a relaxed structure of Al3Fe4.

```
Al3Fe4
1.0
-1.468 1.468 9.812
1.468 -1.468 9.812
1.468 1.468 -9.812
Al Fe
3 4
direct
0.000 0.000 0.000
0.296 0.296 0.000
0.704 0.704 0.000
0.137 0.137 0.000
0.428 0.428 0.000
0.572 0.572 0.000
0.863 0.863 0.000
```

Summary:
Formation energy (eV/atom): -0.21
DOS(E_F) (states/eV/atom): 0.70



No. 13
VASP calculation (GGA-PBEsol) on a relaxed structure of AlFe.

```
AlFe
1.0
-1.786 1.786 3.856
1.786 -1.786 3.856
1.786 1.786 -3.856
Al Fe
2 2
direct
0.375 0.625 0.750
0.625 0.375 0.250
0.125 0.875 0.250
0.875 0.125 0.750
```

Summary:
Formation energy (eV/atom): -0.24
DOS(E_F) (states/eV/atom): 0.65



No. 14
VASP calculation (GGA-PBEsol) on a relaxed structure of Al12Fe7.

```
Al12Fe7
1.0
4.748 0.000 0.000
0.718 6.251 0.000
2.300 0.092 8.360
Al Fe
12 7
direct
0.005 0.296 0.177
0.039 0.129 0.708
0.313 0.663 0.032
0.399 0.813 0.486
0.412 0.463 0.301
0.489 0.011 0.168
0.511 0.989 0.832
0.588 0.537 0.699
0.601 0.187 0.514
0.687 0.337 0.968
0.961 0.871 0.292
0.995 0.704 0.823
0.000 0.000 0.000
0.142 0.155 0.417
0.163 0.478 0.584
0.222 0.347 0.886
0.778 0.653 0.114
0.837 0.522 0.416
0.858 0.845 0.583
```

Summary:
Formation energy (eV/atom): -0.32
DOS(E_F) (states/eV/atom): 0.68



No. 15
VASP calculation (GGA-PBEsol) on a relaxed structure of Al2Fe.

```
Al2Fe
1.0
4.915 0.000 0.000
0.000 3.996 0.000
0.000 0.000 7.693
Al Fe
8 4
direct
0.096 0.250 0.199
0.156 0.250 0.550
0.344 0.750 0.050
0.404 0.750 0.699
0.596 0.250 0.301
0.656 0.250 0.950
0.844 0.750 0.450
0.904 0.750 0.801
0.161 0.250 0.873
0.339 0.750 0.373
0.661 0.250 0.627
0.839 0.750 0.127
```

Summary:
Formation energy (eV/atom): -0.31
DOS(E_F) (states/eV/atom): 0.50



No. 16
VASP calculation (GGA-PBEsol) on a relaxed structure of AlFe.

```
AlFe
1.0
2.843 0.000 0.000
0.000 2.843 0.000
0.000 0.000 2.843
Al Fe
1 1
direct
0.000 0.000 0.000
0.500 0.500 0.500
```

Summary:
Formation energy (eV/atom): -0.34
DOS(E_F) (states/eV/atom): 1.12



No. 17
VASP calculation (GGA-PBEsol) on a relaxed structure of AlFe.

```
AlFe
1.0
0.000 2.417 2.417
2.417 0.000 2.417
2.417 2.417 0.000
Al Fe
1 1
direct
0.000 0.000 0.000
0.500 0.500 0.500
```

Summary:
Formation energy (eV/atom): 0.45
DOS(E_F) (states/eV/atom): 0.78



No. 18
VASP calculation (GGA-PBEsol) on a relaxed structure of AlFe2.

```
AlFe2
1.0
-1.781 1.781 11.150
1.781 -1.781 11.150
1.781 1.781 -11.150
Al Fe
4 8
direct
0.295 0.545 0.750
0.455 0.705 0.750
0.545 0.295 0.250
0.705 0.455 0.250
0.042 0.792 0.250
0.125 0.375 0.750
0.208 0.958 0.250
0.375 0.125 0.250
0.625 0.875 0.750
0.792 0.042 0.750
0.875 0.625 0.250
0.958 0.208 0.750
```

Summary:
Formation energy (eV/atom): -0.18
DOS(E_F) (states/eV/atom): 0.77



No. 19
VASP calculation (GGA-PBEsol) on a relaxed structure of AlFe2.

```
AlFe2
1.0
1.409 -5.991 0.000
1.409 5.991 0.000
0.000 0.000 3.934
Al Fe
2 4
direct
0.082 0.918 0.750
0.918 0.082 0.250
0.246 0.754 0.250
0.411 0.589 0.750
0.589 0.411 0.250
0.754 0.246 0.750
```

Summary:
Formation energy (eV/atom): -0.21
DOS(E_F) (states/eV/atom): 0.88



No. 20
VASP calculation (GGA-PBEsol) on a relaxed structure of AlFe5.

```
AlFe5
1.0
1.413 -5.923 0.000
1.413 5.923 0.000
0.000 0.000 3.975
Al Fe
1 5
direct
0.000 0.000 0.000
0.165 0.835 0.500
0.328 0.672 0.000
0.500 0.500 0.500
0.672 0.328 0.000
0.835 0.165 0.500
```

Summary:
Formation energy (eV/atom): -0.10
DOS(E_F) (states/eV/atom): 0.89
Polymorph energy (0 for the lowest one) (eV/atom): 0.0076